[1]
Entry from Alexandria: RhSeIO2 after structural relaxation (GGA-PBE).

Lattice parameters (Å, degrees): 3.8638 3.8638 7.9401 90.00 90.00 90.00
Space group P4/mmm (No. 123)
Inequivalent atoms, fractional coordinates:
Rh1 0.0000 0.0000 0.0000 x1
Se1 0.5000 0.5000 0.5000 x1
I1 0.0000 0.0000 0.5000 x1
O1 0.0000 0.5000 0.0000 x2

Results
**Volume**: 119 Å³ per cell
**ΔE_f (raw)**: 6.9 kJ/mol of atoms
**ρ**: 4.8 g/cm3
**Polymorph energy (0 for the lowest one)**: 0 meV per atom
**Total energy**: -4.389 eV/atom

***

[2]
Entry from Alexandria: ScUPd2 after structural relaxation (GGA-PBE).

Lattice parameters (Å, degrees): 4.9616 4.9616 3.2114 90.00 90.00 90.00
Space group P4/mmm (No. 123)
Inequivalent atoms, fractional coordinates:
Sc1 0.0000 0.0000 0.0000 x1
U1 0.5000 0.5000 0.0000 x1
Pd1 0.0000 0.5000 0.5000 x2

Results
**Volume**: 79 Å³ per cell
**ΔE_f**: -469 meV per atom
**ρ**: 10.4 g/cm3
**Total energy**: -7.470 eV/atom

***

[3]
Entry from Alexandria: PmHoMgIr after structural relaxation (GGA-PBE).

Lattice parameters (Å, degrees): 7.1874 7.1874 7.1874 90.00 90.00 90.00
Space group F-43m (No. 216)
Inequivalent atoms, fractional coordinates:
Pm1 0.0000 0.0000 0.0000 x4
Ho1 0.0000 0.0000 0.5000 x4
Mg1 0.2500 0.2500 0.2500 x4
Ir1 0.2500 0.2500 0.7500 x4

Results
**Volume**: 371 Å³ per cell
**ΔE_f**: -397 meV per atom
**ρ**: 9.4 g/cm3
**Total energy**: -5.343 eV/atom

***

[4]
Entry from Alexandria: USb2O6 after structural relaxation (GGA-PBE).

Lattice parameters (Å, degrees): 13.6707 4.0105 5.4089 90.00 105.22 90.00
Space group C2/m (No. 12)
Inequivalent atoms, fractional coordinates:
U1 0.0000 0.0000 0.0000 x2
Sb1 0.1899 0.5000 0.7475 x4
O1 0.0658 0.5000 0.8748 x4
O2 0.0887 0.0000 0.3225 x4
O3 0.1958 0.0000 0.9059 x4

Results
**Volume**: 286 Å³ per cell
**ΔE_f (raw)**: -203.5 kJ/mol of atoms
**ρ**: 6.7 g/cm3
**Total energy**: -7.585 eV/atom

***

[5]
Entry from Alexandria: SrYNi2 after structural relaxation (GGA-PBE).

Lattice parameters (Å, degrees): 4.5927 4.5927 15.8569 90.00 90.00 120.00
Space group R-3m (No. 166, hexagonal axes)
Inequivalent atoms, fractional coordinates:
Sr1 0.0000 0.0000 0.0000 x3
Y1 0.0000 0.0000 0.5000 x3
Ni1 0.0000 0.0000 0.2027 x6

Results
**Volume**: 290 Å³ per cell
**ΔE_f**: -56 meV per atom
**ρ**: 5.1 g/cm3
**Polymorph energy (0 for the lowest one)**: 118 meV per atom
**Total energy**: -4.983 eV/atom

***

[6]
Entry from Alexandria: TlSb2Br after structural relaxation (GGA-PBE).

Lattice parameters (Å, degrees): 4.1051 6.4261 10.4292 90.00 90.00 90.00
Space group Imm2 (No. 44)
Inequivalent atoms, fractional coordinates:
Tl1 0.0000 0.0000 0.0000 x2
Sb1 0.0000 0.0000 0.5019 x2
Sb2 0.0000 0.5000 0.1872 x2
Br1 0.0000 0.5000 0.7362 x2

Results
**Volume**: 275 Å³ per cell
**ΔE_f (raw)**: -8.4 kJ/mol of atoms
**ρ**: 6.4 g/cm3
**Polymorph energy (0 for the lowest one)**: 234 meV per atom
**Total energy**: -3.158 eV/atom

***

[7]
Entry from Alexandria: Hg2IrPb after structural relaxation (GGA-PBE).

Lattice parameters (Å, degrees): 5.9121 6.0292 10.2043 90.00 90.00 90.00
Space group Fmmm (No. 69)
Inequivalent atoms, fractional coordinates:
Hg1 0.0000 0.2500 0.2500 x8
Ir1 0.0000 0.0000 0.0000 x4
Pb1 0.0000 0.0000 0.5000 x4

Results
**Volume**: 364 Å³ per cell
**ΔE_f**: 473 meV per atom
**ρ**: 14.6 g/cm3
**Total energy**: -2.821 eV/atom

***

[8]
Entry from Alexandria: FeCo3Te after structural relaxation (GGA-PBE).

Lattice parameters (Å, degrees): 4.3580 4.3580 4.3580 90.00 90.00 90.00
Space group Pm-3m (No. 221)
Inequivalent atoms, fractional coordinates:
Fe1 0.0000 0.0000 0.0000 x1
Co1 0.0000 0.0000 0.5000 x3
Te1 0.5000 0.5000 0.5000 x1

Results
**Volume**: 83 Å³ per cell
**ΔE_f (raw)**: 91.9 kJ/mol of atoms
**ρ**: 7.2 g/cm3
**Polymorph energy (0 for the lowest one)**: 0 meV per atom
**Total energy**: -5.632 eV/atom